GGA-PBE AcLa2Ag, relaxed; M_tot = 0.00 μB/f.u.; space group = Fm-3m; mass density = 7.6 Mg/m³
1.0
0.000 4.069 4.069
4.069 0.000 4.069
4.069 4.069 0.000
Ac La Ag
1 2 1
direct
0.000 0.000 0.000
0.250 0.250 0.250
0.750 0.750 0.750
0.500 0.500 0.500

=====

GGA-PBE AlB2Rh2, relaxed; M_tot = 0.00 μB/f.u.; space group = P4/mbm; mass density = 7.9 Mg/m³
1.0
6.170 0.000 0.000
0.000 6.170 0.000
0.000 0.000 2.814
Al B Rh
2 4 4
direct
0.000 0.000 0.000
0.500 0.500 0.000
0.097 0.403 0.000
0.403 0.903 0.000
0.597 0.097 0.000
0.903 0.597 0.000
0.203 0.703 0.500
0.297 0.203 0.500
0.703 0.797 0.500
0.797 0.297 0.500

=====

GGA-PBE Pm3Np2UN6, relaxed; M_tot = 7.18 μB/f.u.; space group = C2/m; mass density = 11.1 Mg/m³
1.0
3.036 -5.259 0.000
3.036 5.259 0.000
-2.022 0.000 5.783
Pm Np U N
3 2 1 6
direct
0.000 0.000 0.000
0.333 0.667 0.000
0.667 0.333 0.000
0.166 0.834 0.500
0.834 0.166 0.500
0.500 0.500 0.500
0.102 0.427 0.282
0.248 0.248 0.719
0.427 0.102 0.282
0.573 0.898 0.718
0.752 0.752 0.281
0.898 0.573 0.718

=====

GGA-PBE AlAu2N, relaxed; M_tot = 0.00 μB/f.u.; space group = Fm-3m; mass density = 12.5 Mg/m³
1.0
0.000 3.068 3.068
3.068 0.000 3.068
3.068 3.068 0.000
Al Au N
1 2 1
direct
0.000 0.000 0.000
0.250 0.250 0.250
0.750 0.750 0.750
0.500 0.500 0.500

=====

GGA-PBE LiEr4Tl3, relaxed; M_tot = 0.00 μB/f.u.; space group = Pmm2; mass density = 10.0 Mg/m³
1.0
3.725 0.000 0.000
0.000 4.817 0.000
0.000 0.000 11.975
Li Er Tl
1 4 3
direct
0.000 0.000 0.000
0.000 0.000 0.269
0.000 0.500 0.595
0.500 0.000 0.779
0.500 0.500 0.090
0.000 0.500 0.864
0.500 0.000 0.519
0.500 0.500 0.350

=====

GGA-PBE AgSb6Pd12, relaxed; M_tot = 0.00 μB/f.u.; space group = R-3m; mass density = 9.4 Mg/m³
1.0
6.232 3.598 2.775
-6.232 3.598 2.775
0.000 -7.196 2.775
Ag Sb Pd
1 6 12
direct
0.000 0.000 0.000
0.278 0.278 0.692
0.278 0.692 0.278
0.308 0.722 0.722
0.692 0.278 0.278
0.722 0.308 0.722
0.722 0.722 0.308
0.122 0.500 0.878
0.122 0.878 0.500
0.134 0.367 0.367
0.367 0.134 0.367
0.367 0.367 0.134
0.500 0.122 0.878
0.500 0.878 0.122
0.633 0.633 0.866
0.633 0.866 0.633
0.866 0.633 0.633
0.878 0.122 0.500
0.878 0.500 0.122

=====

GGA-PBE LiPmHo2, relaxed; M_tot = 0.00 μB/f.u.; space group = P4/mmm; mass density = 6.8 Mg/m³
1.0
5.656 0.000 0.000
0.000 5.656 0.000
0.000 0.000 3.693
Li Pm Ho
1 1 2
direct
0.000 0.000 0.000
0.500 0.500 0.000
0.000 0.500 0.500
0.500 0.000 0.500

=====

GGA-PBE La3PmSmTm, relaxed; M_tot = 0.00 μB/f.u.; space group = P2_1/m; mass density = 7.0 Mg/m³
1.0
8.146 0.000 0.000
0.000 5.216 0.000
-3.354 0.000 9.854
La Pm Sm Tm
6 2 2 2
direct
0.168 0.250 0.042
0.171 0.250 0.543
0.172 0.750 0.295
0.828 0.250 0.705
0.829 0.750 0.457
0.832 0.750 0.958
0.498 0.750 0.124
0.502 0.250 0.876
0.171 0.750 0.791
0.829 0.250 0.209
0.498 0.750 0.624
0.502 0.250 0.376

=====

GGA-PBE La3AlSn3, relaxed; M_tot = 0.00 μB/f.u.; space group = C2/m; mass density = 6.4 Mg/m³
1.0
5.987 -2.340 0.000
5.987 2.340 0.000
-4.837 0.000 14.760
La Al Sn
6 2 6
direct
0.016 0.016 0.382
0.104 0.104 0.921
0.234 0.234 0.231
0.766 0.766 0.769
0.896 0.896 0.079
0.984 0.984 0.618
0.271 0.271 0.622
0.729 0.729 0.378
0.350 0.350 0.457
0.381 0.381 0.924
0.487 0.487 0.769
0.513 0.513 0.231
0.619 0.619 0.076
0.650 0.650 0.543

=====

GGA-PBE RbMgPb, relaxed; M_tot = 0.00 μB/f.u.; space group = P-1; mass density = 3.9 Mg/m³
1.0
4.504 0.000 0.000
2.225 4.833 0.000
0.971 0.377 12.465
Rb Mg Pb
2 2 2
direct
0.194 0.239 0.172
0.806 0.761 0.828
0.156 0.203 0.468
0.844 0.797 0.532
0.464 0.625 0.376
0.536 0.375 0.624

=====

GGA-PBE CaCrTeRu2, relaxed; M_tot = 1.90 μB/f.u.; space group = P4/mmm; mass density = 6.5 Mg/m³
1.0
4.463 0.000 0.000
0.000 4.463 0.000
0.000 0.000 5.419
Ca Cr Te Ru
1 1 1 2
direct
0.000 0.000 0.000
0.000 0.000 0.500
0.500 0.500 0.000
0.000 0.500 0.500
0.500 0.000 0.500

=====

GGA-PBE Hg2GeBr4, relaxed; M_tot = 0.00 μB/f.u.; space group = I4/mmm; mass density = 5.5 Mg/m³
1.0
-2.994 2.994 6.653
2.994 -2.994 6.653
2.994 2.994 -6.653
Hg Ge Br
2 1 4
direct
0.102 0.102 0.000
0.898 0.898 0.000
0.500 0.500 0.000
0.000 0.500 0.500
0.300 0.300 0.000
0.500 0.000 0.500
0.700 0.700 0.000

=====

Calculated total energy, respectively: -16.3 -66.9 -117.5 -15.8 -28.8 -94.2 -15.1 -57.1 -71.0 -13.0 -29.7 -14.0 eV for the cell shown.